(1)
VASP calculation (PBE-GGA) on crystalline CsNbFeTe3 at its relaxed geometry.

Computed properties:
E_tot, eV per atom: -5.229

Unit cell a=3.849 b=18.318 c=10.342 alpha=90.00 beta=90.00 gamma=90.00
Space group Cmcm (No. 63)
Asymmetric unit:
Cs: 0.000 0.249 0.250 [4 per cell]
Nb: 0.000 0.000 0.000 [4 per cell]
Fe: 0.000 0.476 0.750 [4 per cell]
Te: 0.000 0.070 0.750 [4 per cell]
Te: 0.000 0.390 0.558 [8 per cell]

=====

(2)
VASP calculation (PBE-GGA) on crystalline DyYAsO at its relaxed geometry.

Computed properties:
Energy above the lowest structure with this stoichiometry, kcal/mol of atoms: 0.00

Unit cell a=4.164 b=7.663 c=5.869 alpha=90.00 beta=90.00 gamma=90.00
Space group Pmc2_1 (No. 26)
Asymmetric unit:
Dy: 0.000 0.114 0.000 [2 per cell]
Y: 0.500 0.290 0.432 [2 per cell]
As: 0.500 0.342 0.923 [2 per cell]
O: 0.000 0.169 0.373 [2 per cell]

=====

(3)
VASP calculation (PBE-GGA) on crystalline AcTmO3 at its relaxed geometry.

Computed properties:
E_tot, eV per atom: -8.118

Unit cell a=5.9871 b=5.9871 c=15.7614 alpha=90.00 beta=90.00 gamma=120.00
Space group R-3 (No. 148, hexagonal axes)
Asymmetric unit:
Ac: 0.0000 0.0000 0.1304 [6 per cell]
Tm: 0.0000 0.0000 0.3508 [6 per cell]
O: 0.0282 0.3983 0.9212 [18 per cell]

=====

(4)
VASP calculation (PBE-GGA) on crystalline DyBeO3 at its relaxed geometry.

Computed properties:
E_tot, eV per atom: -7.184

Unit cell a=3.311 b=3.311 c=4.341 alpha=90.00 beta=90.00 gamma=90.00
Space group P4mm (No. 99)
Asymmetric unit:
Dy: 0.000 0.000 0.000 [1 per cell]
Be: 0.500 0.500 0.499 [1 per cell]
O: 0.000 0.500 0.617 [2 per cell]
O: 0.500 0.500 0.129 [1 per cell]